Record 1
# PBE-GGA LiCaV, optimized geometry
data_LiCaV
_cell_length_a 3.239
_cell_length_b 6.330
_cell_length_c 7.104
_cell_angle_alpha 91.23
_cell_angle_beta 101.60
_cell_angle_gamma 102.02
_symmetry_space_group_name_H-M 'P 1'
_symmetry_Int_Tables_number 1
loop_
_symmetry_equiv_pos_as_xyz
'x,y,z'
loop_
_atom_site_label
_atom_site_fract_x
_atom_site_fract_y
_atom_site_fract_z
_atom_site_occupancy
Li1 0.000 0.000 0.000 1
Li2 0.443 0.103 0.680 1
Ca1 0.145 0.558 0.786 1
Ca2 0.545 0.771 0.330 1
V1 0.031 0.285 0.360 1
V2 0.701 0.357 0.133 1
# relative energy among the computed polymorphs = 142 meV/atom
# formation enthalpy at 0 K = 1.25 eV/f.u.
# VASP energy = -11.8 eV per formula unit
# SG = P1

Record 2
# PBE-GGA LiCaV, optimized geometry
data_LiCaV
_cell_length_a 3.322
_cell_length_b 3.322
_cell_length_c 12.447
_cell_angle_alpha 90.00
_cell_angle_beta 90.07
_cell_angle_gamma 90.00
_symmetry_space_group_name_H-M 'P 1'
_symmetry_Int_Tables_number 1
loop_
_symmetry_equiv_pos_as_xyz
'x,y,z'
loop_
_atom_site_label
_atom_site_fract_x
_atom_site_fract_y
_atom_site_fract_z
_atom_site_occupancy
Li1 0.250 0.250 0.073 1
Li2 0.750 0.750 0.927 1
Ca1 0.252 0.250 0.716 1
Ca2 0.748 0.750 0.284 1
V1 0.250 0.250 0.465 1
V2 0.750 0.750 0.535 1
# relative energy among the computed polymorphs = 0 meV/atom
# formation enthalpy at 0 K = 0.82 eV/f.u.
# VASP energy = -12.2 eV per formula unit
# SG = P2_1/m

Record 3
# PBE-GGA LiCaV, optimized geometry
data_LiCaV
_cell_length_a 3.283
_cell_length_b 3.283
_cell_length_c 12.826
_cell_angle_alpha 90.06
_cell_angle_beta 90.06
_cell_angle_gamma 90.10
_symmetry_space_group_name_H-M 'P 1'
_symmetry_Int_Tables_number 1
loop_
_symmetry_equiv_pos_as_xyz
'x,y,z'
loop_
_atom_site_label
_atom_site_fract_x
_atom_site_fract_y
_atom_site_fract_z
_atom_site_occupancy
Li1 0.000 0.000 0.000 1
Li2 0.001 0.001 0.597 1
Ca1 0.499 0.499 0.211 1
Ca2 0.501 0.501 0.795 1
V1 0.000 0.000 0.386 1
V2 0.499 0.499 0.456 1
# relative energy among the computed polymorphs = 53 meV/atom
# formation enthalpy at 0 K = 0.98 eV/f.u.
# VASP energy = -12.1 eV per formula unit
# SG = Cm

Record 4
# PBE-GGA LiCaV, optimized geometry
data_LiCaV
_cell_length_a 3.881
_cell_length_b 3.881
_cell_length_c 8.512
_cell_angle_alpha 90.00
_cell_angle_beta 90.00
_cell_angle_gamma 90.00
_symmetry_space_group_name_H-M 'P 1'
_symmetry_Int_Tables_number 1
loop_
_symmetry_equiv_pos_as_xyz
'x,y,z'
loop_
_atom_site_label
_atom_site_fract_x
_atom_site_fract_y
_atom_site_fract_z
_atom_site_occupancy
Li1 0.250 0.250 0.216 1
Li2 0.750 0.750 0.784 1
Ca1 0.250 0.750 0.500 1
Ca2 0.750 0.250 0.500 1
V1 0.250 0.250 0.933 1
V2 0.750 0.750 0.067 1
# relative energy among the computed polymorphs = 944 meV/atom
# formation enthalpy at 0 K = 3.65 eV/f.u.
# VASP energy = -9.4 eV per formula unit
# SG = P4/nmm